This record from Alexandria describes YMgH2F after structural relaxation. The functional is PBE-GGA.

Structure (CIF):
```
data_YMgH2F
_chemical_formula_sum 'Y1 Mg1 H2 F1'
_space_group_name_H-M_alt 'P 4/m m m'
_space_group_IT_number 123
_space_group_name_Hall '-P 4 2'
_cell_length_a 4.108
_cell_length_b 4.108
_cell_length_c 3.808
_cell_angle_alpha 90.00
_cell_angle_beta 90.00
_cell_angle_gamma 90.00
loop_
_atom_site_label
_atom_site_fract_x
_atom_site_fract_y
_atom_site_fract_z
_atom_site_occupancy
Y1 0.000 0.000 0.000 1
Mg1 0.500 0.500 0.500 1
H1 0.000 0.500 0.500 1
F1 0.500 0.500 0.000 1
```

Magnetic moment   0.0 μB per formula unit
Calculated density   3.5 g/cm³
N(E_F)   0.642 states/eV per atom
Total DFT energy (no corrections)   -20.9 eV per cell